# Cd2HgIr, relaxed, DFT PBEsol
data_Cd2HgIr
_chemical_formula_sum 'Cd2 Hg1 Ir1'
_cell_length_a 4.131
_cell_length_b 4.131
_cell_length_c 4.170
_cell_angle_alpha 90.00
_cell_angle_beta 90.00
_cell_angle_gamma 90.00
_space_group_name_H-M_alt 'P 1'
_space_group_IT_number 1
loop_
_space_group_symop_operation_xyz
'x,y,z'
loop_
_atom_site_label
_atom_site_type_symbol
_atom_site_fract_x
_atom_site_fract_y
_atom_site_fract_z
_atom_site_occupancy
Ir1 Ir 0.000 0.000 0.500 1
Hg1 Hg 0.500 0.500 0.500 1
Cd1 Cd 0.000 0.500 0.000 1
Cd2 Cd 0.500 0.000 0.000 1
# **Calculated formation energy**: 0.16 eV/atom